No. 1
SbAu4 | GGA-PBE | optimized geometry

```
SbAu4
1.0
-0.856 -4.513 -2.537
-1.100 1.585 4.880
-3.278 3.112 -2.666
Au Sb
4 1
direct
0.804 0.399 0.204
0.196 0.601 0.796
0.399 0.196 0.595
0.601 0.804 0.405
0.000 0.000 0.000
```

Its uncorrected formation energy is 0.03 eV per atom. The value obtained for the density of states at the Fermi level is 0.8 states/eV per cell. As for the space group: I4/m.

No. 2
Zr6N5O | GGA-PBE | optimized geometry

```
Zr6N5O
1.0
-3.392 4.178 -1.753
3.578 -2.451 -3.636
-3.811 -4.158 0.533
N Zr O
5 6 1
direct
0.665 0.335 0.000
0.165 0.835 0.500
0.500 0.500 0.500
0.835 0.165 0.500
0.335 0.665 0.000
0.429 0.084 0.254
0.084 0.429 0.254
0.741 0.741 0.260
0.259 0.259 0.740
0.916 0.571 0.746
0.571 0.916 0.746
0.000 0.000 0.000
```

Its uncorrected formation energy is -1.81 eV per atom. The value obtained for the density of states at the Fermi level is 3.0 states/eV per cell. As for the space group: C2/m.